[1]
A relaxed MnCoP2O crystal, computed with PBE with a Hubbard U.

Structure (CIF):
```
data_MnCoP2O
_cell_length_a 4.827
_cell_length_b 4.827
_cell_length_c 3.509
_cell_angle_alpha 90.00
_cell_angle_beta 90.00
_cell_angle_gamma 90.00
_symmetry_space_group_name_H-M 'P 4/m m m'
_symmetry_Int_Tables_number 123
_symmetry_space_group_name_Hall '-P 4 2'
loop_
_atom_site_label
_atom_site_type_symbol
_atom_site_fract_x
_atom_site_fract_y
_atom_site_fract_z
Mn1 Mn 0.000 0.000 0.000
Co1 Co 0.500 0.500 0.500
P1 P 0.000 0.500 0.000
O1 O 0.000 0.000 0.500
```

Calculated values
density of states at the Fermi level: 3.2 states/eV per cell
distance to the lowest polymorph of the same formula: 1.31 eV/f.u.

---

[2]
A relaxed MnCoP2O8 crystal, computed with PBE with a Hubbard U.

Structure (CIF):
```
data_MnCoP2O8
_cell_length_a 8.5929
_cell_length_b 8.5929
_cell_length_c 20.4412
_cell_angle_alpha 90.00
_cell_angle_beta 90.00
_cell_angle_gamma 120.00
_symmetry_space_group_name_H-M 'R 3'
_symmetry_Int_Tables_number 146
_symmetry_space_group_name_Hall 'R 3'
loop_
_atom_site_label
_atom_site_type_symbol
_atom_site_fract_x
_atom_site_fract_y
_atom_site_fract_z
Mn1 Mn 0.0000 0.0000 0.0000
Mn2 Mn 0.0000 0.0000 0.2159
Mn3 Mn 0.0000 0.0000 0.7149
Co1 Co 0.0000 0.0000 0.3605
Co2 Co 0.0000 0.0000 0.5026
Co3 Co 0.0000 0.0000 0.8561
P1 P 0.0004 0.2955 0.6082
P2 P 0.0020 0.7091 0.1077
O1 O 0.0019 0.2021 0.6709
O2 O 0.0079 0.8078 0.1704
O3 O 0.0107 0.1781 0.2835
O4 O 0.0184 0.8338 0.7836
O5 O 0.1351 0.4671 0.2122
O6 O 0.1427 0.6719 0.7116
O7 O 0.1695 0.6856 0.0985
O8 O 0.1720 0.4883 0.5995
```

Calculated values
density of states at the Fermi level: 52.0 states/eV per cell
distance to the lowest polymorph of the same formula: 0.66 eV/f.u.

---

[3]
A relaxed MnCoPO2 crystal, computed with PBE with a Hubbard U.

Structure (CIF):
```
data_MnCoPO2
_cell_length_a 3.640
_cell_length_b 3.640
_cell_length_c 4.930
_cell_angle_alpha 90.00
_cell_angle_beta 90.00
_cell_angle_gamma 90.00
_symmetry_space_group_name_H-M 'P 4/m m m'
_symmetry_Int_Tables_number 123
_symmetry_space_group_name_Hall '-P 4 2'
loop_
_atom_site_label
_atom_site_type_symbol
_atom_site_fract_x
_atom_site_fract_y
_atom_site_fract_z
Mn1 Mn 0.000 0.000 0.000
Co1 Co 0.500 0.500 0.500
P1 P 0.500 0.500 0.000
O1 O 0.000 0.500 0.500
```

Calculated values
density of states at the Fermi level: 2.1 states/eV per cell
distance to the lowest polymorph of the same formula: 0.00 eV/f.u.

---

[4]
A relaxed MnCoP2O crystal, computed with PBE with a Hubbard U.

Structure (CIF):
```
data_MnCoP2O
_cell_length_a 4.717
_cell_length_b 4.717
_cell_length_c 3.394
_cell_angle_alpha 90.00
_cell_angle_beta 90.00
_cell_angle_gamma 90.00
_symmetry_space_group_name_H-M 'P 4/m m m'
_symmetry_Int_Tables_number 123
_symmetry_space_group_name_Hall '-P 4 2'
loop_
_atom_site_label
_atom_site_type_symbol
_atom_site_fract_x
_atom_site_fract_y
_atom_site_fract_z
Mn1 Mn 0.000 0.000 0.000
Co1 Co 0.500 0.500 0.500
P1 P 0.000 0.500 0.500
O1 O 0.500 0.500 0.000
```

Calculated values
density of states at the Fermi level: 2.4 states/eV per cell
distance to the lowest polymorph of the same formula: 0.00 eV/f.u.

---

[5]
A relaxed Mn2CoP3O12 crystal, computed with PBE with a Hubbard U.

Structure (CIF):
```
data_Mn2CoP3O12
_cell_length_a 8.6137
_cell_length_b 8.6137
_cell_length_c 20.5182
_cell_angle_alpha 90.00
_cell_angle_beta 90.00
_cell_angle_gamma 120.00
_symmetry_space_group_name_H-M 'R -3 c'
_symmetry_Int_Tables_number 167
_symmetry_space_group_name_Hall '-R 3 2"c'
loop_
_atom_site_label
_atom_site_type_symbol
_atom_site_fract_x
_atom_site_fract_y
_atom_site_fract_z
Mn1 Mn 0.0000 0.0000 0.1428
Co1 Co 0.0000 0.0000 0.0000
P1 P 0.0000 0.2945 0.2500
O1 O 0.0042 0.2010 0.3125
O2 O 0.0150 0.1802 0.9261
```

Calculated values
density of states at the Fermi level: 56.0 states/eV per cell
total energy: -7.1097 eV/atom

---

[6]
A relaxed MnCoP2O crystal, computed with PBE with a Hubbard U.

Structure (CIF):
```
data_MnCoP2O
_cell_length_a 4.266
_cell_length_b 4.266
_cell_length_c 3.966
_cell_angle_alpha 90.00
_cell_angle_beta 90.00
_cell_angle_gamma 90.00
_symmetry_space_group_name_H-M 'P 4/m m m'
_symmetry_Int_Tables_number 123
_symmetry_space_group_name_Hall '-P 4 2'
loop_
_atom_site_label
_atom_site_type_symbol
_atom_site_fract_x
_atom_site_fract_y
_atom_site_fract_z
Mn1 Mn 0.000 0.000 0.000
Co1 Co 0.500 0.500 0.000
P1 P 0.000 0.500 0.500
O1 O 0.000 0.000 0.500
```

Calculated values
density of states at the Fermi level: 1.8 states/eV per cell
distance to the lowest polymorph of the same formula: 0.76 eV/f.u.

---

[7]
A relaxed MnCoP2O8 crystal, computed with PBE with a Hubbard U.

Structure (CIF):
```
data_MnCoP2O8
_cell_length_a 4.837
_cell_length_b 5.918
_cell_length_c 9.881
_cell_angle_alpha 90.00
_cell_angle_beta 91.42
_cell_angle_gamma 90.00
_symmetry_space_group_name_H-M 'P 1 21/m 1'
_symmetry_Int_Tables_number 11
_symmetry_space_group_name_Hall '-P 2yb'
loop_
_atom_site_label
_atom_site_type_symbol
_atom_site_fract_x
_atom_site_fract_y
_atom_site_fract_z
Mn1 Mn 0.077 0.250 0.215
Co1 Co 0.433 0.250 0.717
P1 P 0.097 0.750 0.097
P2 P 0.402 0.750 0.595
O1 O 0.154 0.750 0.944
O2 O 0.213 0.250 0.881
O3 O 0.254 0.549 0.170
O4 O 0.263 0.543 0.668
O5 O 0.282 0.250 0.381
O6 O 0.337 0.750 0.443
```

Calculated values
distance to the lowest polymorph of the same formula: 0.00 eV/f.u.

---

[8]
A relaxed Mn3Co2SnP6O24 crystal, computed with PBE with a Hubbard U.

Structure (CIF):
```
data_Mn3Co2SnP6O24
_cell_length_a 8.6582
_cell_length_b 8.6582
_cell_length_c 20.8512
_cell_angle_alpha 90.00
_cell_angle_beta 90.00
_cell_angle_gamma 120.00
_symmetry_space_group_name_H-M 'R 3'
_symmetry_Int_Tables_number 146
_symmetry_space_group_name_Hall 'R 3'
loop_
_atom_site_label
_atom_site_type_symbol
_atom_site_fract_x
_atom_site_fract_y
_atom_site_fract_z
Mn1 Mn 0.0000 0.0000 0.0000
Mn2 Mn 0.0000 0.0000 0.2112
Mn3 Mn 0.0000 0.0000 0.7130
Co1 Co 0.0000 0.0000 0.3514
Co2 Co 0.0000 0.0000 0.8571
Sn1 Sn 0.0000 0.0000 0.4982
P1 P 0.0007 0.2996 0.6059
P2 P 0.0436 0.6709 0.7730
O1 O 0.0061 0.8064 0.1679
O2 O 0.0092 0.1765 0.2783
O3 O 0.0146 0.8334 0.7835
O4 O 0.1291 0.4613 0.2102
O5 O 0.1326 0.4637 0.3328
O6 O 0.1455 0.6844 0.7119
O7 O 0.1675 0.6877 0.0963
O8 O 0.1705 0.4895 0.5970
```

Calculated values
density of states at the Fermi level: 36.4 states/eV per cell
total energy: -7.0579 eV/atom

---

[9]
A relaxed Ti3MnCo2P6O24 crystal, computed with PBE with a Hubbard U.

Structure (CIF):
```
data_Ti3MnCo2P6O24
_cell_length_a 8.6209
_cell_length_b 8.6209
_cell_length_c 20.7398
_cell_angle_alpha 90.00
_cell_angle_beta 90.00
_cell_angle_gamma 120.00
_symmetry_space_group_name_H-M 'R 3'
_symmetry_Int_Tables_number 146
_symmetry_space_group_name_Hall 'R 3'
loop_
_atom_site_label
_atom_site_type_symbol
_atom_site_fract_x
_atom_site_fract_y
_atom_site_fract_z
Ti1 Ti 0.0000 0.0000 0.0000
Ti2 Ti 0.0000 0.0000 0.2160
Ti3 Ti 0.0000 0.0000 0.5001
Mn1 Mn 0.0000 0.0000 0.7179
Co1 Co 0.0000 0.0000 0.3557
Co2 Co 0.0000 0.0000 0.8577
P1 P 0.0004 0.7116 0.6093
P2 P 0.0407 0.3722 0.7742
O1 O 0.0004 0.8069 0.6705
O2 O 0.0056 0.1933 0.1679
O3 O 0.0169 0.8316 0.2797
O4 O 0.0230 0.1849 0.7817
O5 O 0.1454 0.4741 0.7135
O6 O 0.1490 0.6725 0.2144
O7 O 0.1665 0.4816 0.1011
O8 O 0.1707 0.6928 0.6010
```

Calculated values
density of states at the Fermi level: 16.3 states/eV per cell
total energy: -7.5819 eV/atom

---

[10]
A relaxed MnV3Co2P6O24 crystal, computed with PBE with a Hubbard U.

Structure (CIF):
```
data_MnV3Co2P6O24
_cell_length_a 8.6558
_cell_length_b 8.6558
_cell_length_c 20.6088
_cell_angle_alpha 90.00
_cell_angle_beta 90.00
_cell_angle_gamma 120.00
_symmetry_space_group_name_H-M 'R 3'
_symmetry_Int_Tables_number 146
_symmetry_space_group_name_Hall 'R 3'
loop_
_atom_site_label
_atom_site_type_symbol
_atom_site_fract_x
_atom_site_fract_y
_atom_site_fract_z
Mn1 Mn 0.0000 0.0000 0.0000
V1 V 0.0000 0.0000 0.2855
V2 V 0.0000 0.0000 0.4993
V3 V 0.0000 0.0000 0.7869
Co1 Co 0.0000 0.0000 0.1413
Co2 Co 0.0000 0.0000 0.6418
P1 P 0.0022 0.2984 0.8936
P2 P 0.0044 0.7110 0.3942
O1 O 0.0000 0.8077 0.3313
O2 O 0.0023 0.1924 0.8324
O3 O 0.0038 0.1755 0.5621
O4 O 0.0279 0.8303 0.0730
O5 O 0.0304 0.8294 0.4534
O6 O 0.1231 0.4558 0.6229
O7 O 0.1717 0.6872 0.3864
O8 O 0.1727 0.4876 0.8850
```

Calculated values
density of states at the Fermi level: 58.1 states/eV per cell
total energy: -7.2940 eV/atom

---

[11]
A relaxed Mn2V3CoP6O24 crystal, computed with PBE with a Hubbard U.

Structure (CIF):
```
data_Mn2V3CoP6O24
_cell_length_a 8.5709
_cell_length_b 8.5709
_cell_length_c 21.0807
_cell_angle_alpha 90.00
_cell_angle_beta 90.00
_cell_angle_gamma 120.00
_symmetry_space_group_name_H-M 'R 3'
_symmetry_Int_Tables_number 146
_symmetry_space_group_name_Hall 'R 3'
loop_
_atom_site_label
_atom_site_type_symbol
_atom_site_fract_x
_atom_site_fract_y
_atom_site_fract_z
Mn1 Mn 0.0000 0.0000 0.0000
Mn2 Mn 0.0000 0.0000 0.4989
V1 V 0.0000 0.0000 0.1434
V2 V 0.0000 0.0000 0.3555
V3 V 0.0000 0.0000 0.8564
Co1 Co 0.0000 0.0000 0.6407
P1 P 0.0019 0.2878 0.7471
P2 P 0.0050 0.7101 0.2503
O1 O 0.0005 0.8079 0.1892
O2 O 0.0084 0.8137 0.3102
O3 O 0.0185 0.1846 0.4166
O4 O 0.0192 0.2032 0.6858
O5 O 0.0193 0.8308 0.9229
O6 O 0.1431 0.4680 0.4749
O7 O 0.1688 0.4850 0.7465
O8 O 0.1787 0.6971 0.2441
```

Calculated values
total energy: -7.4327 eV/atom

---

[12]
A relaxed PaMn3Co4O12 crystal, computed with PBE with a Hubbard U.

Structure (CIF):
```
data_PaMn3Co4O12
_cell_length_a 7.327
_cell_length_b 7.327
_cell_length_c 7.327
_cell_angle_alpha 90.00
_cell_angle_beta 90.00
_cell_angle_gamma 90.00
_symmetry_space_group_name_H-M 'I m -3'
_symmetry_Int_Tables_number 204
_symmetry_space_group_name_Hall '-I 2 2 3'
loop_
_atom_site_label
_atom_site_type_symbol
_atom_site_fract_x
_atom_site_fract_y
_atom_site_fract_z
Pa1 Pa 0.000 0.000 0.000
Mn1 Mn 0.000 0.000 0.500
Co1 Co 0.250 0.250 0.250
O1 O 0.000 0.176 0.294
```

Calculated values
density of states at the Fermi level: 13.4 states/eV per cell
total energy: -7.1329 eV/atom